Record 1
The following is a PBE calculation of an optimized crystal structure of Ta2RePd2, from Alexandria via LeMat-Bulk.

Lattice parameters (Å, degrees): 3.507 3.507 14.312 90.00 90.00 90.00
Space group I4/mmm (No. 139)
Inequivalent atoms, fractional coordinates:
Ta1 0.000 0.000 0.099 x4
Re1 0.000 0.000 0.500 x2
Pd1 0.000 0.500 0.250 x4

- DFT formation energy: 0.293 eV/atom
- Total moment: 0.00 μB per cell
- Distance to the lowest polymorph of the same formula: 0.219 eV per atom



Record 2
The following is a PBE calculation of an optimized crystal structure of MnGaMoP, from Alexandria via LeMat-Bulk.

Lattice parameters (Å, degrees): 8.974 3.029 4.576 90.00 107.69 90.00
Space group Cm (No. 8)
Inequivalent atoms, fractional coordinates:
Mn1 0.000 0.000 0.000 x2
Ga1 0.223 0.500 0.027 x2
Mo1 0.256 0.000 0.566 x2
P1 0.455 0.500 0.480 x2

- DFT formation energy: -0.099 eV/atom
- Total moment: 5.64 μB per cell
- Distance to the lowest polymorph of the same formula: 0.164 eV per atom



Record 3
The following is a PBE calculation of an optimized crystal structure of ZrReRu, from Alexandria via LeMat-Bulk.

Lattice parameters (Å, degrees): 6.152 6.152 6.152 90.00 90.00 90.00
Space group F-43m (No. 216)
Inequivalent atoms, fractional coordinates:
Zr1 0.000 0.000 0.000 x4
Re1 0.000 0.000 0.500 x4
Ru1 0.250 0.250 0.750 x4

- DFT formation energy: 0.357 eV/atom
- Total moment: 0.00 μB per cell
- Distance to the lowest polymorph of the same formula: 0.531 eV per atom



Record 4
The following is a PBE calculation of an optimized crystal structure of HfReP2, from Alexandria via LeMat-Bulk.

Lattice parameters (Å, degrees): 6.181 6.181 6.181 90.00 90.00 90.00
Space group Fm-3m (No. 225)
Inequivalent atoms, fractional coordinates:
Hf1 0.000 0.000 0.000 x4
Re1 0.000 0.000 0.500 x4
P1 0.250 0.250 0.250 x8

- DFT formation energy: -0.411 eV/atom
- Total moment: 0.00 μB per cell
- Distance to the lowest polymorph of the same formula: 0.000 eV per atom



Record 5
The following is a PBE calculation of an optimized crystal structure of Tb3Tl2Cd, from Alexandria via LeMat-Bulk.

Lattice parameters (Å, degrees): 5.3613 5.3613 13.1180 90.00 90.00 120.00
Space group P-3m1 (No. 164)
Inequivalent atoms, fractional coordinates:
Tb1 0.0000 0.0000 0.2487 x2
Tb2 0.3333 0.6667 0.4168 x2
Tb3 0.3333 0.6667 0.9186 x2
Tl1 0.0000 0.0000 0.0000 x1
Tl2 0.0000 0.0000 0.5000 x1
Tl3 0.3333 0.6667 0.6729 x2
Cd1 0.3333 0.6667 0.1679 x2

- DFT formation energy: -0.350 eV/atom
- Total moment: 0.00 μB per cell
- Distance to the lowest polymorph of the same formula: 0.000 eV per atom



Record 6
The following is a PBE calculation of an optimized crystal structure of Ba2Na5In4, from Alexandria via LeMat-Bulk.

Lattice parameters (Å, degrees): 6.542 10.131 11.571 90.00 90.00 90.00
Space group Immm (No. 71)
Inequivalent atoms, fractional coordinates:
Ba1 0.000 0.000 0.216 x4
Na1 0.000 0.500 0.500 x2
Na2 0.248 0.313 0.000 x8
In1 0.000 0.342 0.254 x8

- DFT formation energy: -0.157 eV/atom
- Total moment: 0.00 μB per cell



Record 7
The following is a PBE calculation of an optimized crystal structure of Rb2LiSnCl5, from Alexandria via LeMat-Bulk.

Lattice parameters (Å, degrees): 4.493 18.542 13.898 90.00 90.00 90.00
Space group Cmc2_1 (No. 36)
Inequivalent atoms, fractional coordinates:
Rb1 0.000 0.100 0.000 x4
Rb2 0.000 0.157 0.646 x4
Li1 0.000 0.235 0.401 x4
Sn1 0.000 0.454 0.776 x4
Cl1 0.000 0.098 0.372 x4
Cl2 0.000 0.273 0.982 x4
Cl3 0.000 0.339 0.679 x4
Cl4 0.000 0.353 0.330 x4
Cl5 0.000 0.481 0.100 x4

- Total energy: -3.47 eV per atom
- Total moment: 0.00 μB per cell



Record 8
The following is a PBE calculation of an optimized crystal structure of AgTe2Ru, from Alexandria via LeMat-Bulk.

Lattice parameters (Å, degrees): 6.213 6.213 12.039 90.00 90.00 90.00
Space group I-42d (No. 122)
Inequivalent atoms, fractional coordinates:
Ag1 0.000 0.000 0.000 x4
Te1 0.215 0.250 0.625 x8
Ru1 0.000 0.000 0.500 x4

- Total moment: 0.00 μB per cell
- Distance to the lowest polymorph of the same formula: 0.147 eV per atom



Please write out number 2 again, unchanged.
The following is a PBE calculation of an optimized crystal structure of MnGaMoP, from Alexandria via LeMat-Bulk.

Lattice parameters (Å, degrees): 8.974 3.029 4.576 90.00 107.69 90.00
Space group Cm (No. 8)
Inequivalent atoms, fractional coordinates:
Mn1 0.000 0.000 0.000 x2
Ga1 0.223 0.500 0.027 x2
Mo1 0.256 0.000 0.566 x2
P1 0.455 0.500 0.480 x2

- DFT formation energy: -0.099 eV/atom
- Total moment: 5.64 μB per cell
- Distance to the lowest polymorph of the same formula: 0.164 eV per atom